[1]
# PBE RePRuS2, relaxed
# Symmetry ... P4/mmm, No. 123
# Total energy ... -28.5 eV for the cell shown
# Formation energy from raw total energies ... 133 kJ/mol of atoms
# Mass density ... 7.06 Mg/m³
data_RePRuS2
_cell_length_a 4.484
_cell_length_b 4.484
_cell_length_c 4.475
_cell_angle_alpha 90.00
_cell_angle_beta 90.00
_cell_angle_gamma 90.00
_space_group_name_H-M_alt 'P 1'
_space_group_IT_number 1
_space_group_name_Hall 'P 1'
loop_
_atom_site_label
_atom_site_type_symbol
_atom_site_fract_x
_atom_site_fract_y
_atom_site_fract_z
S1 S 0.000 0.500 0.000
Re1 Re 0.500 0.500 0.500
P1 P 0.000 0.000 0.500
Ru1 Ru 0.000 0.000 0.000
S2 S 0.500 0.000 0.000


[2]
# PBE Ho8HgPd2, relaxed
# Symmetry ... C2/m, No. 12
# Total energy ... -51.8 eV for the cell shown
# Energy of formation ... -0.4088 eV/atom
# Mass density ... 9.67 Mg/m³
data_Ho8HgPd2
_cell_length_a 5.082
_cell_length_b 6.879
_cell_length_c 9.240
_cell_angle_alpha 105.91
_cell_angle_beta 105.96
_cell_angle_gamma 90.00
_space_group_name_H-M_alt 'P 1'
_space_group_IT_number 1
_space_group_name_Hall 'P 1'
loop_
_atom_site_label
_atom_site_type_symbol
_atom_site_fract_x
_atom_site_fract_y
_atom_site_fract_z
Ho1 Ho 0.967 0.229 0.933
Pd1 Pd 0.183 0.723 0.366
Ho2 Ho 0.799 0.670 0.598
Ho3 Ho 0.674 0.983 0.348
Hg1 Hg 0.500 0.000 0.000
Pd2 Pd 0.817 0.277 0.634
Ho4 Ho 0.033 0.771 0.067
Ho5 Ho 0.201 0.330 0.402
Ho6 Ho 0.406 0.529 0.813
Ho7 Ho 0.326 0.017 0.652
Ho8 Ho 0.594 0.471 0.187


[3]
# PBE YHf, relaxed
# Symmetry ... I-43m, No. 217
# Total energy ... -107.2 eV for the cell shown
# Energy of formation ... 1.5074 eV/atom
# Mass density ... 4.53 Mg/m³
data_YHf
_cell_length_a 9.220
_cell_length_b 9.220
_cell_length_c 9.220
_cell_angle_alpha 90.00
_cell_angle_beta 90.00
_cell_angle_gamma 90.00
_space_group_name_H-M_alt 'P 1'
_space_group_IT_number 1
_space_group_name_Hall 'P 1'
loop_
_atom_site_label
_atom_site_type_symbol
_atom_site_fract_x
_atom_site_fract_y
_atom_site_fract_z
Hf1 Hf 0.107 0.107 0.893
Y1 Y 0.295 0.295 0.705
Y2 Y 0.295 0.705 0.295
Hf2 Hf 0.607 0.607 0.393
Hf3 Hf 0.893 0.893 0.893
Y3 Y 0.205 0.795 0.795
Hf4 Hf 0.107 0.893 0.107
Y4 Y 0.795 0.205 0.795
Y5 Y 0.205 0.205 0.205
Hf5 Hf 0.893 0.107 0.107
Hf6 Hf 0.607 0.393 0.607
Hf7 Hf 0.393 0.607 0.607
Y6 Y 0.795 0.795 0.205
Y7 Y 0.705 0.705 0.705
Y8 Y 0.705 0.295 0.295
Hf8 Hf 0.393 0.393 0.393


[4]
# PBE LiTh2Te4, relaxed
# Symmetry ... C2/m, No. 12
# Total energy ... -37.1 eV for the cell shown
# Formation energy from raw total energies ... -108 kJ/mol of atoms
# Mass density ... 6.75 Mg/m³
data_LiTh2Te4
_cell_length_a 4.356
_cell_length_b 7.588
_cell_length_c 8.524
_cell_angle_alpha 116.52
_cell_angle_beta 104.80
_cell_angle_gamma 90.00
_space_group_name_H-M_alt 'P 1'
_space_group_IT_number 1
_space_group_name_Hall 'P 1'
loop_
_atom_site_label
_atom_site_type_symbol
_atom_site_fract_x
_atom_site_fract_y
_atom_site_fract_z
Te1 Te 0.883 0.209 0.766
Te2 Te 0.621 0.282 0.242
Th1 Th 0.255 0.251 0.510
Li1 Li 0.000 0.000 0.000
Te3 Te 0.117 0.791 0.234
Te4 Te 0.379 0.718 0.758
Th2 Th 0.745 0.749 0.490


[5]
# PBE SbPb2Se, relaxed
# Symmetry ... P2/m, No. 10
# Total energy ... -15.2 eV for the cell shown
# Formation energy from raw total energies ... -5 kJ/mol of atoms
# Mass density ... 8.75 Mg/m³
data_SbPb2Se
_cell_length_a 4.104
_cell_length_b 4.209
_cell_length_c 7.639
_cell_angle_alpha 62.26
_cell_angle_beta 90.00
_cell_angle_gamma 90.00
_space_group_name_H-M_alt 'P 1'
_space_group_IT_number 1
_space_group_name_Hall 'P 1'
loop_
_atom_site_label
_atom_site_type_symbol
_atom_site_fract_x
_atom_site_fract_y
_atom_site_fract_z
Sb1 Sb 0.500 0.250 0.250
Pb1 Pb 0.000 0.945 0.992
Pb2 Pb 0.000 0.555 0.508
Se1 Se 0.500 0.750 0.750


[6]
# PBE CsSr2Pb2, relaxed
# Symmetry ... I4/mmm, No. 139
# Total energy ... -12.2 eV for the cell shown
# Energy of formation ... -0.1137 eV/atom
# Mass density ... 4.69 Mg/m³
data_CsSr2Pb2
_cell_length_a 6.065
_cell_length_b 6.065
_cell_length_c 8.166
_cell_angle_alpha 68.20
_cell_angle_beta 68.20
_cell_angle_gamma 90.00
_space_group_name_H-M_alt 'P 1'
_space_group_IT_number 1
_space_group_name_Hall 'P 1'
loop_
_atom_site_label
_atom_site_type_symbol
_atom_site_fract_x
_atom_site_fract_y
_atom_site_fract_z
Pb1 Pb 0.250 0.750 0.500
Cs1 Cs 0.000 0.000 0.000
Pb2 Pb 0.750 0.250 0.500
Sr1 Sr 0.653 0.653 0.694
Sr2 Sr 0.347 0.347 0.306